A relaxed DyP2Pt7 crystal. Source: Alexandria via LeMat-Bulk, functional GGA-PBE.

Cell lengths 4.0245, 4.0245, 10.5435 Å; angles 101.00, 101.00, 90.00 degrees
Fractional positions:
Dy (0.0000, 0.0000, 0.0000)
P (0.6745, 0.6745, 0.3490)
P (0.3255, 0.3255, 0.6510)
Pt (0.1068, 0.6068, 0.2136)
Pt (0.3932, 0.8932, 0.7864)
Pt (0.6068, 0.1068, 0.2136)
Pt (0.5000, 0.5000, 0.0000)
Pt (0.7500, 0.2500, 0.5000)
Pt (0.8932, 0.3932, 0.7864)
Pt (0.2500, 0.7500, 0.5000)

## Properties
Crystal system ... tetragonal
E_tot ... -6.431 eV per atom
Energy of formation ... -0.661 eV per atom